(1)
DFT (PBE) results for a relaxed RbSn2BS6 crystal.

Cell lengths 9.535, 9.535, 7.159 Å; angles 110.45, 110.45, 91.42 degrees
Atoms (fractional coordinates):
Rb 0.107 0.893 0.750
Rb 0.893 0.107 0.250
Sn 0.220 0.400 0.881
Sn 0.400 0.220 0.381
Sn 0.600 0.780 0.619
Sn 0.780 0.600 0.119
B 0.232 0.768 0.250
B 0.768 0.232 0.750
S 0.010 0.760 0.171
S 0.238 0.380 0.534
S 0.240 0.990 0.329
S 0.288 0.675 0.013
S 0.325 0.712 0.487
S 0.380 0.238 0.034
S 0.620 0.762 0.966
S 0.675 0.288 0.513
S 0.712 0.325 0.987
S 0.760 0.010 0.671
S 0.762 0.620 0.466
S 0.990 0.240 0.829

Summary:
ρ ... 3101 kg/m3
Space-group type ... C2/c
Formation energy without anion corrections ... -0.4186 eV per atom
E ... -4.4601 eV per atom

***

(2)
DFT (PBE) results for a relaxed Rb2SnB2S6 crystal.

Cell lengths 6.657, 6.657, 8.146 Å; angles 110.46, 110.46, 58.81 degrees
Atoms (fractional coordinates):
Rb 0.199 0.199 0.174
Rb 0.801 0.801 0.826
Sn 0.000 0.000 0.500
B 0.429 0.429 0.693
B 0.571 0.571 0.307
S 0.239 0.707 0.250
S 0.266 0.266 0.658
S 0.293 0.761 0.750
S 0.707 0.239 0.250
S 0.734 0.734 0.342
S 0.761 0.293 0.750

Summary:
ρ ... 2957 kg/m3
Space-group type ... C2/m
Formation energy without anion corrections ... -0.5715 eV per atom
E ... -4.5768 eV per atom

***

- E of number 1 (RbSn2BS6)?
  -4.4601 eV per atom

***

- Among the records above, which one has the highest ρ?
  RbSn2BS6

***

- The lowest formation energy without anion corrections belongs to which entry?
  Rb2SnB2S6

***

- formation energy without anion corrections of number 1 (RbSn2BS6)?
  -0.4186 eV per atom